A relaxed structure of Mn6GaC. Source: Alexandria via LeMat-Bulk, functional PBE-GGA.

The structure belongs to space group P-1 (No. 2); the cell edges are 4.4712, 4.5639 and 4.5874 Å and the angles 99.71°, 98.17° and 102.34°. The asymmetric unit holds Mn at (0.0826, 0.1386, 0.2830), Mn at (0.2140, 0.4147, 0.8607), Mn at (0.3773, 0.7224, 0.4125), Ga at (0.5000, 0.0000, 0.0000) and C at (0.0000, 0.5000, 0.5000).

Its energy relative to the elements is 0.00 eV/atom. The magnetic moment is 0.208 μB per atom. Its density of states at the Fermi level is 8.11 states/eV/f.u. As for the final energy: -8.41 eV/atom.

A relaxed structure of Mn4GaC. Source: Alexandria via LeMat-Bulk, functional PBE-GGA.

The structure belongs to space group P2_1/c (No. 14); the cell edges are 6.1931, 4.8022 and 4.6432 Å and the angles 90.00°, 101.18° and 90.00°. The asymmetric unit holds Mn at (0.1014, 0.1351, 0.3726), Mn at (0.3158, 0.5583, 0.4553), Ga at (0.5000, 0.0000, 0.5000) and C at (0.0000, 0.0000, 0.0000).

Its energy relative to the elements is 0.22 eV/atom. The magnetic moment is 0.085 μB per atom. Its density of states at the Fermi level is 6.83 states/eV/f.u. As for the final energy: -7.93 eV/atom.

Question: Which of these has the highest final energy?
Answer: Mn4GaC